Computed, not measured: a relaxed La3Ho3ScTe8 crystal at the PBE level of DFT.

abc: 8.7968 8.7968 22.0062
angles: 90.00 90.00 120.00
Closest atoms and distances in Å follow each position.
Space group R-3m (No. 166, hexagonal axes)
Symmetry-distinct sites (fractional):
La 0.0000 0.5000 0.0000  6 Te 3.21
Ho 0.0000 0.5000 0.5000  6 Te 3.06
Sc 0.0000 0.0000 0.5000  6 Te 3.05
Te 0.0000 0.0000 0.2442  3 Ho 3.06, 3 La 3.21
Te 0.0013 0.5006 0.2438  1 Sc 3.05, 2 Ho 3.06, 2 La 3.21

crystal system: trigonal
mass density: 6.68 g/cm3
size of the total moment: 0.00 μB per formula unit
formation energy from raw total energies: -1427 meV per atom